(1)
VASP calculation (GGA-PBE) on a geometry-optimized PaB2Te2 structure.

Unit cell a=5.684 b=5.684 c=5.684 alpha=132.89 beta=132.89 gamma=68.83
Atoms (fractional coordinates):
Pa  0.000  0.000  0.000
B  0.250  0.750  0.500
B  0.750  0.250  0.500
Te  0.327  0.327  0.000
Te  0.673  0.673  0.000

total moment = 1.323 μB/cell
polymorph energy (0 for the lowest one) = 554 meV/atom

=====

(2)
VASP calculation (GGA-PBE) on a geometry-optimized LiZr2Ga structure.

Unit cell a=4.837 b=4.837 c=4.837 alpha=60.00 beta=60.00 gamma=60.00
Atoms (fractional coordinates):
Li  0.000  0.000  0.000
Zr  0.500  0.500  0.500
Zr  0.750  0.750  0.750
Ga  0.250  0.250  0.250

total moment = 3.314 μB/cell

=====

(3)
VASP calculation (GGA-PBE) on a geometry-optimized AcIn4Ni structure.

Unit cell a=8.962 b=8.962 c=7.424 alpha=90.00 beta=90.00 gamma=150.46
Atoms (fractional coordinates):
Ac  0.118  0.882  0.750
Ac  0.882  0.118  0.250
In  0.079  0.921  0.250
In  0.309  0.691  0.552
In  0.309  0.691  0.948
In  0.500  0.500  0.000
In  0.500  0.500  0.500
In  0.691  0.309  0.052
In  0.691  0.309  0.448
In  0.921  0.079  0.750
Ni  0.228  0.772  0.250
Ni  0.772  0.228  0.750

total moment = 0.001 μB/cell

=====

(4)
VASP calculation (GGA-PBE) on a geometry-optimized ErTmGa2Co4 structure.

Unit cell a=4.106 b=4.106 c=8.737 alpha=90.00 beta=90.00 gamma=120.00
Atoms (fractional coordinates):
Er  0.000  0.000  0.000
Tm  0.667  0.333  0.500
Ga  0.333  0.667  0.251
Ga  0.333  0.667  0.749
Co  0.000  0.000  0.316
Co  0.000  0.000  0.684
Co  0.667  0.333  0.186
Co  0.667  0.333  0.814

total moment = 1.450 μB/cell

=====

(5)
VASP calculation (GGA-PBE) on a geometry-optimized FeRePtPb structure.

Unit cell a=4.540 b=4.540 c=4.540 alpha=60.00 beta=60.00 gamma=60.00
Atoms (fractional coordinates):
Fe  0.000  0.000  0.000
Re  0.500  0.500  0.500
Pt  0.250  0.250  0.250
Pb  0.750  0.750  0.750

total moment = 2.198 μB/cell
polymorph energy (0 for the lowest one) = 0 meV/atom

=====

(6)
VASP calculation (GGA-PBE) on a geometry-optimized Pm5TlTe4 structure.

Unit cell a=7.754 b=7.754 c=7.754 alpha=99.56 beta=99.56 gamma=131.90
Atoms (fractional coordinates):
Pm  0.000  0.000  0.000
Pm  0.204  0.598  0.803
Pm  0.402  0.204  0.606
Pm  0.598  0.796  0.394
Pm  0.796  0.402  0.197
Tl  0.500  0.500  0.000
Te  0.098  0.301  0.399
Te  0.301  0.902  0.203
Te  0.699  0.098  0.797
Te  0.902  0.699  0.601

total moment = 0.015 μB/cell

=====

(7)
VASP calculation (GGA-PBE) on a geometry-optimized PaAl2 structure.

Unit cell a=5.740 b=5.740 c=5.505 alpha=90.00 beta=90.00 gamma=90.00
Atoms (fractional coordinates):
Pa  0.000  0.000  0.000
Pa  0.500  0.500  0.500
Al  0.151  0.151  0.500
Al  0.349  0.651  0.000
Al  0.651  0.349  0.000
Al  0.849  0.849  0.500

total moment = 1.709 μB/cell

=====

(8)
VASP calculation (GGA-PBE) on a geometry-optimized LiGdAsO structure.

Unit cell a=4.060 b=4.060 c=4.641 alpha=90.00 beta=90.00 gamma=90.00
Atoms (fractional coordinates):
Li  0.000  0.000  0.000
Gd  0.500  0.500  0.500
As  0.000  0.000  0.500
O  0.500  0.500  0.000

total moment = 0.011 μB/cell
polymorph energy (0 for the lowest one) = 527 meV/atom

=====

(9)
VASP calculation (GGA-PBE) on a geometry-optimized Ho2InGePt4 structure.

Unit cell a=4.470 b=4.470 c=9.085 alpha=90.00 beta=90.00 gamma=120.00
Atoms (fractional coordinates):
Ho  0.333  0.667  0.246
Ho  0.667  0.333  0.754
In  0.000  0.000  0.500
Ge  0.000  0.000  0.000
Pt  0.333  0.667  0.595
Pt  0.333  0.667  0.916
Pt  0.667  0.333  0.084
Pt  0.667  0.333  0.405

total moment = 0.001 μB/cell

=====

(10)
VASP calculation (GGA-PBE) on a geometry-optimized RbCdSn structure.

Unit cell a=5.698 b=5.698 c=5.698 alpha=60.00 beta=60.00 gamma=60.00
Atoms (fractional coordinates):
Rb  0.000  0.000  0.000
Cd  0.750  0.750  0.750
Sn  0.250  0.250  0.250

polymorph energy (0 for the lowest one) = 749 meV/atom

=====

(11)
VASP calculation (GGA-PBE) on a geometry-optimized TaCuMo2 structure.

Unit cell a=4.448 b=4.448 c=4.448 alpha=60.00 beta=60.00 gamma=60.00
Atoms (fractional coordinates):
Ta  0.000  0.000  0.000
Cu  0.750  0.750  0.750
Mo  0.250  0.250  0.250
Mo  0.500  0.500  0.500

formation enthalpy at 0 K = 0.18 eV per atom
total moment = 0.004 μB/cell

=====

(12)
VASP calculation (GGA-PBE) on a geometry-optimized ZrH4 structure.

Unit cell a=7.185 b=5.785 c=3.429 alpha=90.00 beta=90.00 gamma=90.00
Atoms (fractional coordinates):
Zr  0.175  0.146  0.000
Zr  0.325  0.646  0.500
Zr  0.675  0.354  0.000
Zr  0.825  0.854  0.500
H  0.017  0.102  0.523
H  0.053  0.670  0.515
H  0.205  0.496  0.024
H  0.214  0.325  0.518
H  0.286  0.825  0.018
H  0.295  0.996  0.524
H  0.447  0.170  0.015
H  0.483  0.602  0.023
H  0.517  0.398  0.523
H  0.553  0.830  0.515
H  0.705  0.004  0.024
H  0.714  0.175  0.518
H  0.786  0.675  0.018
H  0.795  0.504  0.524
H  0.947  0.330  0.015
H  0.983  0.898  0.023

total moment = 0.004 μB/cell
polymorph energy (0 for the lowest one) = 0 meV/atom

=====

(13)
VASP calculation (GGA-PBE) on a geometry-optimized Re6IrOs structure.

Unit cell a=5.546 b=5.546 c=4.409 alpha=90.00 beta=90.00 gamma=120.00
Atoms (fractional coordinates):
Re  0.005  0.502  0.000
Re  0.169  0.339  0.500
Re  0.169  0.831  0.500
Re  0.498  0.502  0.000
Re  0.498  0.995  0.000
Re  0.661  0.831  0.500
Ir  0.667  0.333  0.500
Os  0.000  0.000  0.000

formation enthalpy at 0 K = -0.14 eV per atom
total moment = 0.000 μB/cell

=====

(14)
VASP calculation (GGA-PBE) on a geometry-optimized KFeCuTeSe2 structure.

Unit cell a=8.108 b=8.108 c=10.055 alpha=90.00 beta=90.00 gamma=154.00
Atoms (fractional coordinates):
K  0.232  0.768  0.750
K  0.768  0.232  0.250
Fe  0.000  0.000  0.000
Fe  0.000  0.000  0.500
Cu  0.457  0.543  0.250
Cu  0.543  0.457  0.750
Te  0.073  0.927  0.250
Te  0.927  0.073  0.750
Se  0.390  0.610  0.039
Se  0.390  0.610  0.461
Se  0.610  0.390  0.539
Se  0.610  0.390  0.961

total moment = 6.136 μB/cell

=====

(15)
VASP calculation (GGA-PBE) on a geometry-optimized NaSr3Ir structure.

Unit cell a=8.344 b=8.344 c=5.907 alpha=90.00 beta=90.00 gamma=90.00
Atoms (fractional coordinates):
Na  0.000  0.500  0.000
Na  0.500  0.000  0.000
Sr  0.000  0.000  0.000
Sr  0.248  0.252  0.500
Sr  0.252  0.752  0.500
Sr  0.500  0.500  0.000
Sr  0.748  0.248  0.500
Sr  0.752  0.748  0.500
Ir  0.000  0.000  0.500
Ir  0.500  0.500  0.500

total moment = 0.006 μB/cell

=====

(16)
VASP calculation (GGA-PBE) on a geometry-optimized HfBe2Au structure.

Unit cell a=4.377 b=4.377 c=4.377 alpha=60.00 beta=60.00 gamma=60.00
Atoms (fractional coordinates):
Hf  0.000  0.000  0.000
Be  0.500  0.500  0.500
Be  0.750  0.750  0.750
Au  0.250  0.250  0.250

total moment = 0.001 μB/cell

=====

(17)
VASP calculation (GGA-PBE) on a geometry-optimized Zn6Au structure.

Unit cell a=5.473 b=5.473 c=5.473 alpha=60.00 beta=60.00 gamma=60.00
Atoms (fractional coordinates):
Zn  0.000  0.000  0.500
Zn  0.000  0.500  0.000
Zn  0.000  0.500  0.500
Zn  0.500  0.000  0.000
Zn  0.500  0.000  0.500
Zn  0.500  0.500  0.000
Au  0.000  0.000  0.000

formation enthalpy at 0 K = 0.03 eV per atom

=====

(18)
VASP calculation (GGA-PBE) on a geometry-optimized Rb2CuPbF6 structure.

Unit cell a=6.150 b=6.150 c=6.150 alpha=120.72 beta=120.72 gamma=88.76
Atoms (fractional coordinates):
Rb  0.250  0.750  0.500
Rb  0.750  0.250  0.500
Cu  0.000  0.000  0.000
Pb  0.500  0.500  0.000
F  0.194  0.731  0.925
F  0.234  0.234  0.000
F  0.269  0.194  0.463
F  0.731  0.806  0.537
F  0.766  0.766  0.000
F  0.806  0.269  0.075

polymorph energy (0 for the lowest one) = 0 meV/atom

=====

(19)
VASP calculation (GGA-PBE) on a geometry-optimized HoIn2O4 structure.

Unit cell a=6.667 b=6.667 c=6.667 alpha=60.00 beta=60.00 gamma=60.00
Atoms (fractional coordinates):
Ho  0.125  0.125  0.125
Ho  0.875  0.875  0.875
In  0.000  0.500  0.500
In  0.500  0.000  0.500
In  0.500  0.500  0.000
In  0.500  0.500  0.500
O  0.257  0.257  0.257
O  0.257  0.257  0.728
O  0.257  0.728  0.257
O  0.272  0.743  0.743
O  0.728  0.257  0.257
O  0.743  0.272  0.743
O  0.743  0.743  0.272
O  0.743  0.743  0.743

total moment = 0.000 μB/cell

=====

(20)
VASP calculation (GGA-PBE) on a geometry-optimized CsAgMoSe2S structure.

Unit cell a=8.278 b=8.278 c=10.062 alpha=90.00 beta=90.00 gamma=152.26
Atoms (fractional coordinates):
Cs  0.249  0.751  0.750
Cs  0.751  0.249  0.250
Ag  0.463  0.537  0.250
Ag  0.537  0.463  0.750
Mo  0.000  0.000  0.000
Mo  0.000  0.000  0.500
Se  0.391  0.609  0.025
Se  0.391  0.609  0.475
Se  0.609  0.391  0.525
Se  0.609  0.391  0.975
S  0.057  0.943  0.250
S  0.943  0.057  0.750

total moment = 3.997 μB/cell

=====

(21)
VASP calculation (GGA-PBE) on a geometry-optimized RbAg5S3 structure.

Unit cell a=13.650 b=13.650 c=8.150 alpha=90.00 beta=90.00 gamma=120.00
Atoms (fractional coordinates):
Rb  0.000  0.000  0.000
Rb  0.000  0.000  0.500
Rb  0.333  0.667  0.001
Rb  0.333  0.667  0.499
Rb  0.667  0.333  0.501
Rb  0.667  0.333  0.999
Ag  0.000  0.537  0.000
Ag  0.000  0.537  0.500
Ag  0.002  0.368  0.750
Ag  0.005  0.708  0.750
Ag  0.148  0.333  0.001
Ag  0.148  0.333  0.499
Ag  0.185  0.852  0.001
Ag  0.185  0.852  0.499
Ag  0.292  0.297  0.750
Ag  0.297  0.292  0.250
Ag  0.333  0.148  0.501
Ag  0.333  0.148  0.999
Ag  0.367  0.998  0.750
Ag  0.368  0.002  0.250
Ag  0.463  0.463  0.000
Ag  0.463  0.463  0.500
Ag  0.537  0.000  0.000
Ag  0.537  0.000  0.500
Ag  0.632  0.633  0.750
Ag  0.633  0.632  0.250
Ag  0.667  0.815  0.001
Ag  0.667  0.815  0.499
Ag  0.703  0.995  0.750
Ag  0.708  0.005  0.250
Ag  0.815  0.667  0.501
Ag  0.815  0.667  0.999
Ag  0.852  0.185  0.501
Ag  0.852  0.185  0.999
Ag  0.995  0.703  0.250
Ag  0.998  0.367  0.250
S  0.087  0.224  0.250
S  0.109  0.580  0.250
S  0.137  0.913  0.250
S  0.220  0.440  0.750
S  0.220  0.780  0.750
S  0.224  0.087  0.750
S  0.420  0.529  0.250
S  0.440  0.220  0.250
S  0.471  0.891  0.250
S  0.529  0.420  0.750
S  0.560  0.780  0.750
S  0.580  0.109  0.750
S  0.776  0.863  0.250
S  0.780  0.220  0.250
S  0.780  0.560  0.250
S  0.863  0.776  0.750
S  0.891  0.471  0.750
S  0.913  0.137  0.750

=====

(22)
VASP calculation (GGA-PBE) on a geometry-optimized TmAu structure.

Unit cell a=4.508 b=4.508 c=4.508 alpha=60.00 beta=60.00 gamma=60.00
Atoms (fractional coordinates):
Tm  0.000  0.000  0.000
Au  0.250  0.250  0.250

formation enthalpy at 0 K = -0.27 eV per atom
total moment = 0.001 μB/cell

=====

E_tot readings, ordered: -24.73; -21.48; -45.65; -45.84; -27.86; -51.05; -27.72; -21.49; -48.41; -4.15; -36.54; -94.09; -95.70; -50.83; -31.67; -20.77; -10.64; -43.04; -87.85; -56.09; -181.91; -8.29 eV for the cell shown